Compound: SrNdIr4
Source: the Open Quantum Materials Database
Functional: PBE
Structure: optimized geometry

Geometry as POSCAR:
```
SrNdIr4
1.0
0.0000 3.8595 3.8595
3.8595 0.0000 3.8595
3.8595 3.8595 0.0000
Sr Nd Ir
1 1 4
Cartesian
0.0000 0.0000 0.0000
5.7893 5.7893 5.7893
2.8952 2.8952 2.8952
4.8238 4.8238 2.8952
4.8238 2.8952 4.8238
2.8952 4.8238 4.8238
```

Crystal system: cubic
DFT total energy, eV/atom: -7.466

Compound: NdTcIr
Source: the Open Quantum Materials Database
Functional: PBE
Structure: optimized geometry

Geometry as POSCAR:
```
NdTcIr
1.0
0.0000 3.2420 3.2420
3.2420 0.0000 3.2420
3.2420 3.2420 0.0000
Nd Tc Ir
1 1 1
Cartesian
0.0000 0.0000 0.0000
3.2420 3.2420 3.2420
1.6210 1.6210 1.6210
```

Crystal system: cubic
DFT formation energy, eV per atom: 0.403
DFT total energy, eV/atom: -7.590

Compound: Nd3Tm3Te2Ir
Source: the Open Quantum Materials Database
Functional: PBE
Structure: optimized geometry

Geometry as POSCAR:
```
Nd3Tm3Te2Ir
1.0
8.4253 0.0000 0.0000
-4.2126 7.2965 0.0000
0.0000 0.0000 4.0607
Nd Tm Te Ir
3 3 2 1
Cartesian
-1.6877 2.9231 0.0000
3.3754 0.0000 0.0000
2.5250 4.3733 0.0000
-3.2277 5.5906 2.0303
0.9849 1.7059 2.0303
6.4555 0.0000 2.0303
0.0000 4.8643 2.0303
4.2126 2.4322 2.0303
0.0000 0.0000 0.0000
```

Crystal system: hexagonal
DFT total energy, eV/atom: -5.668

Compound: Nd3Tm3Te2Ir
Source: the Open Quantum Materials Database
Functional: PBE
Structure: optimized geometry

Geometry as POSCAR:
```
Nd3Tm3Te2Ir
1.0
8.5522 0.0000 0.0000
-4.2761 7.4064 0.0000
0.0000 0.0000 3.9427
Nd Tm Te Ir
3 3 2 1
Cartesian
-3.2130 5.5652 0.0000
1.0630 1.8412 0.0000
6.4261 0.0000 0.0000
-1.7023 2.9485 1.9714
3.4046 0.0000 1.9714
2.5738 4.4579 1.9714
0.0000 4.9376 0.0000
4.2761 2.4688 0.0000
0.0000 0.0000 1.9714
```

Crystal system: hexagonal
DFT total energy, eV/atom: -5.489

Compound: Nd3Zr3Te2Ir
Source: the Open Quantum Materials Database
Functional: PBE
Structure: optimized geometry

Geometry as POSCAR:
```
Nd3Zr3Te2Ir
1.0
8.2030 0.0000 0.0000
-4.1015 7.1040 0.0000
0.0000 0.0000 4.0020
Nd Zr Te Ir
3 3 2 1
Cartesian
-1.6561 2.8685 0.0000
3.3122 0.0000 0.0000
2.4454 4.2355 0.0000
-3.1568 5.4677 2.0010
0.9447 1.6363 2.0010
6.3136 0.0000 2.0010
0.0000 4.7360 2.0010
4.1015 2.3680 2.0010
0.0000 0.0000 0.0000
```

Crystal system: hexagonal
DFT total energy, eV/atom: -6.902

Compound: Nd3Zr3Te2Ir
Source: the Open Quantum Materials Database
Functional: PBE
Structure: optimized geometry

Geometry as POSCAR:
```
Nd3Zr3Te2Ir
1.0
8.3988 0.0000 0.0000
-4.1994 7.2736 0.0000
0.0000 0.0000 3.7584
Nd Zr Te Ir
3 3 2 1
Cartesian
-3.1389 5.4368 0.0000
1.0605 1.8368 0.0000
6.2778 0.0000 0.0000
-1.7215 2.9817 1.8792
3.4430 0.0000 1.8792
2.4779 4.2918 1.8792
0.0000 4.8490 0.0000
4.1994 2.4245 0.0000
0.0000 0.0000 1.8792
```

Crystal system: hexagonal
DFT total energy, eV/atom: -6.598

Compound: NdTlIr
Source: the Open Quantum Materials Database
Functional: PBE
Structure: optimized geometry

Geometry as POSCAR:
```
NdTlIr
1.0
0.0000 3.4045 3.4045
3.4045 0.0000 3.4045
3.4045 3.4045 0.0000
Nd Tl Ir
1 1 1
Cartesian
0.0000 0.0000 0.0000
5.1068 5.1068 5.1068
3.4045 3.4045 3.4045
```

Crystal system: cubic
DFT total energy, eV/atom: -5.077

Compound: NdTlIr
Source: the Open Quantum Materials Database
Functional: PBE
Structure: optimized geometry

Geometry as POSCAR:
```
NdTlIr
1.0
0.0000 3.4707 3.4707
3.4707 0.0000 3.4707
3.4707 3.4707 0.0000
Nd Tl Ir
1 1 1
Cartesian
0.0000 0.0000 0.0000
1.7353 1.7353 1.7353
5.2060 5.2060 5.2060
```

Crystal system: cubic
DFT total energy, eV/atom: -5.018

Compound: Nd3TlIr
Source: the Open Quantum Materials Database
Functional: PBE
Structure: optimized geometry

Geometry as POSCAR:
```
Nd3TlIr
1.0
3.7577 -4.5106 0.0000
3.7577 4.5106 0.0000
0.0000 0.0000 8.7807
Nd Tl Ir
6 2 2
Cartesian
3.7577 2.6390 0.0000
1.9599 0.0000 2.7299
1.9599 0.0000 6.0509
5.5555 0.0000 2.7299
5.5555 0.0000 6.0509
3.7577 -2.6390 0.0000
3.7577 2.3328 4.3904
3.7577 -2.3328 4.3904
2.3616 0.0000 0.0000
5.1538 0.0000 0.0000
```

Crystal system: orthorhombic
DFT total energy, eV/atom: -5.548

Compound: NdUIr
Source: the Open Quantum Materials Database
Functional: PBE
Structure: optimized geometry

Geometry as POSCAR:
```
NdUIr
1.0
0.0000 3.3944 3.3944
3.3944 0.0000 3.3944
3.3944 3.3944 0.0000
Nd U Ir
1 1 1
Cartesian
0.0000 0.0000 0.0000
3.3944 3.3944 3.3944
5.0916 5.0916 5.0916
```

Crystal system: cubic
DFT formation energy, eV per atom: -0.033
DFT total energy, eV/atom: -8.338

Compound: NdIrW
Source: the Open Quantum Materials Database
Functional: PBE
Structure: optimized geometry

Geometry as POSCAR:
```
NdIrW
1.0
0.0000 3.2632 3.2632
3.2632 0.0000 3.2632
3.2632 3.2632 0.0000
Nd Ir W
1 1 1
Cartesian
0.0000 0.0000 0.0000
1.6316 1.6316 1.6316
3.2632 3.2632 3.2632
```

Crystal system: cubic
DFT formation energy, eV per atom: 0.526
DFT total energy, eV/atom: -8.333

Compound: NdYIr
Source: the Open Quantum Materials Database
Functional: PBE
Structure: optimized geometry

Geometry as POSCAR:
```
NdYIr
1.0
0.0000 3.3658 3.3658
3.3658 0.0000 3.3658
3.3658 3.3658 0.0000
Nd Y Ir
1 1 1
Cartesian
0.0000 0.0000 0.0000
5.0487 5.0487 5.0487
3.3658 3.3658 3.3658
```

Crystal system: cubic
DFT formation energy, eV per atom: 0.188
DFT total energy, eV/atom: -6.506